# Tm2MnFe5B2 | the Alexandria database | PBE | relaxed
data_Tm2MnFe5B2
_space_group_name_H-M_alt 'P 4/m b m'
_space_group_IT_number 127
_space_group_name_Hall '-P 4 2ab'
_cell_length_a 8.9732
_cell_length_b 8.9732
_cell_length_c 2.9403
_cell_angle_alpha 90.00
_cell_angle_beta 90.00
_cell_angle_gamma 90.00
loop_
_atom_site_label
_atom_site_fract_x
_atom_site_fract_y
_atom_site_fract_z
Tm1 0.1762 0.3238 0.0000
Mn1 0.0000 0.0000 0.0000
Fe1 0.0000 0.5000 0.5000
Fe2 0.0678 0.7823 0.5000
B1 0.1200 0.6200 0.0000
# **Crystal system**: tetragonal
# **Spin magnetization**: 0.338 μB per atom
# **E_form**: -1.24 eV per formula unit